(w)
# Sr2HoCu3Pb2O8

A relaxed Sr2HoCu3Pb2O8 crystal (PBE, the Alexandria database).

Cell lengths 15.9346, 5.4574, 5.4172 Å; angles 90.00, 90.53, 90.00 degrees
Sites, in units of the cell vectors:
1 Sr 0.2205 0.9995 0.0064
2 Sr 0.2205 0.5005 0.5064
3 Sr 0.7795 0.0005 0.9936
4 Sr 0.7795 0.4995 0.4936
5 Ho 0.0000 0.0000 0.0000
6 Ho 0.0000 0.5000 0.5000
7 Cu 0.1033 0.9997 0.5033
8 Cu 0.1033 0.5003 0.0033
9 Cu 0.5000 0.0000 0.0000
10 Cu 0.5000 0.5000 0.5000
11 Cu 0.8967 0.0003 0.4967
12 Cu 0.8967 0.4997 0.9967
13 Pb 0.3883 0.0065 0.4964
14 Pb 0.3883 0.4935 0.9964
15 Pb 0.6117 0.5065 0.0036
16 Pb 0.6117 0.9935 0.5036
17 O 0.0897 0.7501 0.2527
18 O 0.0897 0.7499 0.7527
19 O 0.0915 0.2499 0.2528
20 O 0.0915 0.2501 0.7528
21 O 0.2508 0.5104 0.0076
22 O 0.2508 0.9896 0.5076
23 O 0.3855 0.0602 0.0467
24 O 0.3855 0.4398 0.5467
25 O 0.6145 0.5602 0.4533
26 O 0.6145 0.9398 0.9533
27 O 0.7492 0.0104 0.4924
28 O 0.7492 0.4896 0.9924
29 O 0.9085 0.7499 0.2472
30 O 0.9085 0.7501 0.7472
31 O 0.9103 0.2501 0.2473
32 O 0.9103 0.2499 0.7473

calculated volume: 14.72 A^3/atom



(x)
# Sr2HoCu3Pb2O8

A relaxed Sr2HoCu3Pb2O8 crystal (PBE, the Alexandria database).

Cell lengths 3.8308, 3.8308, 15.9794 Å; angles 90.00, 90.00, 90.00 degrees
Sites, in units of the cell vectors:
1 Sr 0.0000 0.0000 0.2205
2 Sr 0.0000 0.0000 0.7795
3 Ho 0.0000 0.0000 0.0000
4 Cu 0.0000 0.0000 0.5000
5 Cu 0.5000 0.5000 0.1029
6 Cu 0.5000 0.5000 0.8971
7 Pb 0.5000 0.5000 0.3874
8 Pb 0.5000 0.5000 0.6126
9 O 0.0000 0.0000 0.3834
10 O 0.0000 0.0000 0.6166
11 O 0.0000 0.5000 0.0903
12 O 0.0000 0.5000 0.9097
13 O 0.5000 0.0000 0.0903
14 O 0.5000 0.0000 0.9097
15 O 0.5000 0.5000 0.2506
16 O 0.5000 0.5000 0.7494

calculated volume: 14.66 A^3/atom



Energy comparison, zero being the most stable, in meV per atom: (w) 0; (x) 8.



(w)
# SrHo2CuO5

A relaxed SrHo2CuO5 crystal (PBE, the Alexandria database).

Cell lengths 7.2965, 7.2965, 7.2965 Å; angles 127.62, 127.62, 77.24 degrees
Sites, in units of the cell vectors:
1 Sr 0.2500 0.2500 0.0000
2 Sr 0.7500 0.7500 0.0000
3 Ho 0.1721 0.6721 0.8443
4 Ho 0.3279 0.1721 0.5000
5 Ho 0.6721 0.8279 0.5000
6 Ho 0.8279 0.3279 0.1557
7 Cu 0.2500 0.7500 0.5000
8 Cu 0.7500 0.2500 0.5000
9 O 0.0000 0.0000 0.0000
10 O 0.0195 0.2272 0.5000
11 O 0.2272 0.7272 0.2077
12 O 0.2728 0.4805 0.5000
13 O 0.4805 0.9805 0.2077
14 O 0.5000 0.5000 0.0000
15 O 0.5195 0.0195 0.7923
16 O 0.7272 0.5195 0.5000
17 O 0.7728 0.2728 0.7923
18 O 0.9805 0.7728 0.5000

calculated volume: 13.14 A^3/atom



(x)
# SrHo2CuO5

A relaxed SrHo2CuO5 crystal (PBE, the Alexandria database).

Cell lengths 12.0450, 5.6194, 7.1484 Å; angles 90.00, 90.00, 90.00 degrees
Sites, in units of the cell vectors:
1 Sr 0.0882 0.2500 0.0791
2 Sr 0.4118 0.7500 0.5791
3 Sr 0.5882 0.2500 0.4209
4 Sr 0.9118 0.7500 0.9209
5 Ho 0.0733 0.7500 0.3947
6 Ho 0.2135 0.2500 0.6132
7 Ho 0.2865 0.7500 0.1132
8 Ho 0.4267 0.2500 0.8947
9 Ho 0.5733 0.7500 0.1053
10 Ho 0.7135 0.2500 0.8868
11 Ho 0.7865 0.7500 0.3868
12 Ho 0.9267 0.2500 0.6053
13 Cu 0.1628 0.7500 0.7793
14 Cu 0.3372 0.2500 0.2793
15 Cu 0.6628 0.7500 0.7207
16 Cu 0.8372 0.2500 0.2207
17 O 0.0670 0.5066 0.6635
18 O 0.0670 0.9934 0.6635
19 O 0.0944 0.7500 0.0758
20 O 0.2243 0.0048 0.3503
21 O 0.2243 0.4952 0.3503
22 O 0.2757 0.5048 0.8503
23 O 0.2757 0.9952 0.8503
24 O 0.4056 0.2500 0.5758
25 O 0.4330 0.0066 0.1635
26 O 0.4330 0.4934 0.1635
27 O 0.5670 0.5066 0.8365
28 O 0.5670 0.9934 0.8365
29 O 0.5944 0.7500 0.4242
30 O 0.7243 0.0048 0.1497
31 O 0.7243 0.4952 0.1497
32 O 0.7757 0.5048 0.6497
33 O 0.7757 0.9952 0.6497
34 O 0.9056 0.2500 0.9242
35 O 0.9330 0.0066 0.3365
36 O 0.9330 0.4934 0.3365

calculated volume: 13.44 A^3/atom



Energy comparison, zero being the most stable, in meV per atom: (w) 68; (x) 0.



(w)
# Ho4CuOs

A relaxed Ho4CuOs crystal (PBE, the Alexandria database).

Cell lengths 9.4009, 9.4009, 9.4009 Å; angles 60.00, 60.00, 60.00 degrees
Sites, in units of the cell vectors:
1 Ho 0.1909 0.1909 0.8091
2 Ho 0.1909 0.8091 0.1909
3 Ho 0.1909 0.8091 0.8091
4 Ho 0.3961 0.3961 0.3961
5 Ho 0.3961 0.3961 0.8117
6 Ho 0.3961 0.8117 0.3961
7 Ho 0.5577 0.5577 0.9423
8 Ho 0.5577 0.9423 0.5577
9 Ho 0.5577 0.9423 0.9423
10 Ho 0.8091 0.1909 0.1909
11 Ho 0.8091 0.1909 0.8091
12 Ho 0.8091 0.8091 0.1909
13 Ho 0.8117 0.3961 0.3961
14 Ho 0.9423 0.5577 0.5577
15 Ho 0.9423 0.5577 0.9423
16 Ho 0.9423 0.9423 0.5577
17 Cu 0.1725 0.1725 0.1725
18 Cu 0.1725 0.1725 0.4825
19 Cu 0.1725 0.4825 0.1725
20 Cu 0.4825 0.1725 0.1725
21 Os 0.1733 0.6089 0.6089
22 Os 0.6089 0.1733 0.6089
23 Os 0.6089 0.6089 0.1733
24 Os 0.6089 0.6089 0.6089

calculated volume: 24.48 A^3/atom



(x)
# Ho4CuOs

A relaxed Ho4CuOs crystal (PBE, the Alexandria database).

Cell lengths 6.8310, 6.8413, 6.8555 Å; angles 90.00, 92.07, 90.00 degrees
Sites, in units of the cell vectors:
1 Ho 0.1560 0.1625 0.1726
2 Ho 0.1560 0.3375 0.6726
3 Ho 0.3315 0.6627 0.1529
4 Ho 0.3315 0.8373 0.6529
5 Ho 0.6685 0.1627 0.3471
6 Ho 0.6685 0.3373 0.8471
7 Ho 0.8440 0.6625 0.3274
8 Ho 0.8440 0.8375 0.8274
9 Cu 0.5000 0.0000 0.0000
10 Cu 0.5000 0.5000 0.5000
11 Os 0.0000 0.0000 0.5000
12 Os 0.0000 0.5000 0.0000

calculated volume: 26.68 A^3/atom



Energy comparison, zero being the most stable, in meV per atom: (w) 0; (x) 57.



(w)
# Ho8Cu2Os

A relaxed Ho8Cu2Os crystal (PBE, the Alexandria database).

Cell lengths 8.9275, 8.9275, 6.6854 Å; angles 106.77, 106.77, 32.96 degrees
Sites, in units of the cell vectors:
1 Ho 0.0322 0.0322 0.2965
2 Ho 0.1981 0.1981 0.8191
3 Ho 0.3331 0.3331 0.5235
4 Ho 0.4091 0.4091 0.0604
5 Ho 0.5909 0.5909 0.9396
6 Ho 0.6669 0.6669 0.4765
7 Ho 0.8019 0.8019 0.1809
8 Ho 0.9678 0.9678 0.7035
9 Cu 0.1836 0.1836 0.2151
10 Cu 0.8164 0.8164 0.7849
11 Os 0.5000 0.5000 0.5000

calculated volume: 25.13 A^3/atom



(x)
# Ho8Cu2Os

A relaxed Ho8Cu2Os crystal (PBE, the Alexandria database).

Cell lengths 7.7225, 7.7225, 5.8591 Å; angles 101.18, 101.18, 116.09 degrees
Sites, in units of the cell vectors:
1 Ho 0.0000 0.0000 0.0000
2 Ho 0.0240 0.2716 0.5927
3 Ho 0.1571 0.5650 0.1895
4 Ho 0.2716 0.0240 0.5927
5 Ho 0.4490 0.6961 0.8096
6 Ho 0.5650 0.1571 0.1895
7 Ho 0.6961 0.4490 0.8096
8 Ho 0.7189 0.7189 0.3729
9 Cu 0.0514 0.6589 0.6843
10 Cu 0.6589 0.0514 0.6843
11 Os 0.3593 0.3593 0.0297

calculated volume: 26.55 A^3/atom



Energy comparison, zero being the most stable, in meV per atom: (w) 0; (x) 120.



(w)
# HoCuPb2

A relaxed HoCuPb2 crystal (PBE, the Alexandria database).

Cell lengths 4.6924, 4.6924, 4.4238 Å; angles 90.00, 90.00, 90.00 degrees
Sites, in units of the cell vectors:
1 Ho 0.0000 0.0000 0.0000
2 Cu 0.5000 0.5000 0.0000
3 Pb 0.0000 0.5000 0.5000
4 Pb 0.5000 0.0000 0.5000

calculated volume: 24.35 A^3/atom



(x)
# HoCuPb2

A relaxed HoCuPb2 crystal (PBE, the Alexandria database).

Cell lengths 10.5788, 10.5788, 10.5788 Å; angles 18.97, 18.97, 18.97 degrees
Sites, in units of the cell vectors:
1 Ho 0.0000 0.0000 0.0000
2 Cu 0.5000 0.5000 0.5000
3 Pb 0.1014 0.1014 0.1014
4 Pb 0.8986 0.8986 0.8986

calculated volume: 27.34 A^3/atom



Energy comparison, zero being the most stable, in meV per atom: (w) 0; (x) 359.



(w)
# Ho6CuPd2

A relaxed Ho6CuPd2 crystal (PBE, the Alexandria database).

Cell lengths 8.3770, 8.3770, 8.3770 Å; angles 111.09, 110.79, 106.57 degrees
Sites, in units of the cell vectors:
1 Ho 0.0603 0.2465 0.8138
2 Ho 0.1754 0.2727 0.4481
3 Ho 0.1754 0.7273 0.9027
4 Ho 0.3296 0.0326 0.7030
5 Ho 0.3296 0.6266 0.2970
6 Ho 0.4327 0.2465 0.1862
7 Ho 0.5673 0.7535 0.8138
8 Ho 0.6704 0.3734 0.7030
9 Ho 0.6704 0.9674 0.2970
10 Ho 0.8246 0.2727 0.0973
11 Ho 0.8246 0.7273 0.5519
12 Ho 0.9397 0.7535 0.1862
13 Cu 0.0000 0.0000 0.0000
14 Cu 0.5000 0.5000 0.0000
15 Pd 0.1333 0.6333 0.5000
16 Pd 0.3396 0.0000 0.3396
17 Pd 0.6604 0.0000 0.6604
18 Pd 0.8667 0.3667 0.5000

calculated volume: 25.09 A^3/atom



(x)
# Ho6CuPd2

A relaxed Ho6CuPd2 crystal (PBE, the Alexandria database).

Cell lengths 6.6144, 7.1725, 11.7443 Å; angles 90.00, 122.62, 90.00 degrees
Sites, in units of the cell vectors:
1 Ho 0.0815 0.0360 0.2437
2 Ho 0.0815 0.4640 0.7437
3 Ho 0.2156 0.6832 0.0679
4 Ho 0.2156 0.8168 0.5679
5 Ho 0.3863 0.1689 0.0674
6 Ho 0.3863 0.3311 0.5674
7 Ho 0.6137 0.6689 0.4326
8 Ho 0.6137 0.8311 0.9326
9 Ho 0.7844 0.1832 0.4321
10 Ho 0.7844 0.3168 0.9321
11 Ho 0.9185 0.5360 0.2563
12 Ho 0.9185 0.9640 0.7563
13 Cu 0.5000 0.0000 0.5000
14 Cu 0.5000 0.5000 0.0000
15 Pd 0.3134 0.1216 0.7498
16 Pd 0.3134 0.3784 0.2498
17 Pd 0.6866 0.6216 0.7502
18 Pd 0.6866 0.8784 0.2502

calculated volume: 26.07 A^3/atom



Energy comparison, zero being the most stable, in meV per atom: (w) 0; (x) 52.



(w)
# HoCuPd4

A relaxed HoCuPd4 crystal (PBE, the Alexandria database).

Cell lengths 5.2894, 5.2894, 5.2894 Å; angles 60.00, 60.00, 60.00 degrees
Sites, in units of the cell vectors:
1 Ho 0.0000 0.0000 0.0000
2 Cu 0.2500 0.2500 0.2500
3 Pd 0.1261 0.6246 0.6246
4 Pd 0.6246 0.1261 0.6246
5 Pd 0.6246 0.6246 0.1261
6 Pd 0.6246 0.6246 0.6246

calculated volume: 17.44 A^3/atom



(x)
# HoCuPd4

A relaxed HoCuPd4 crystal (PBE, the Alexandria database).

Cell lengths 9.5564, 9.5564, 5.0065 Å; angles 90.00, 90.00, 152.65 degrees
Sites, in units of the cell vectors:
1 Ho 0.1347 0.8653 0.5000
2 Ho 0.8653 0.1347 0.0000
3 Cu 0.4048 0.5952 0.3180
4 Cu 0.5952 0.4048 0.8180
5 Pd 0.0411 0.9589 0.9985
6 Pd 0.2673 0.7327 0.1876
7 Pd 0.3169 0.6831 0.6860
8 Pd 0.4601 0.5399 0.8262
9 Pd 0.5399 0.4601 0.3262
10 Pd 0.6831 0.3169 0.1860
11 Pd 0.7327 0.2673 0.6876
12 Pd 0.9589 0.0411 0.4985

calculated volume: 17.51 A^3/atom



Energy comparison, zero being the most stable, in meV per atom: (w) 0; (x) 38.



(w)
# Ho2Cu2Pd

A relaxed Ho2Cu2Pd crystal (PBE, the Alexandria database).

Cell lengths 5.4674, 5.4674, 10.7472 Å; angles 111.58, 111.58, 42.66 degrees
Sites, in units of the cell vectors:
1 Ho 0.0101 0.0101 0.3385
2 Ho 0.1903 0.1903 0.1151
3 Ho 0.8097 0.8097 0.8849
4 Ho 0.9899 0.9899 0.6615
5 Cu 0.3647 0.3647 0.4496
6 Cu 0.4715 0.4715 0.1063
7 Cu 0.5285 0.5285 0.8937
8 Cu 0.6353 0.6353 0.5504
9 Pd 0.2891 0.2891 0.6766
10 Pd 0.7109 0.7109 0.3234

calculated volume: 20.00 A^3/atom



(x)
# Ho2Cu2Pd

A relaxed Ho2Cu2Pd crystal (PBE, the Alexandria database).

Cell lengths 7.0957, 7.0957, 7.7397 Å; angles 90.00, 90.00, 90.00 degrees
Sites, in units of the cell vectors:
1 Ho 0.1799 0.3195 0.0000
2 Ho 0.1805 0.3201 0.5000
3 Ho 0.3195 0.8201 0.0000
4 Ho 0.3201 0.8195 0.5000
5 Ho 0.6799 0.1805 0.5000
6 Ho 0.6805 0.1799 0.0000
7 Ho 0.8195 0.6799 0.5000
8 Ho 0.8201 0.6805 0.0000
9 Cu 0.1210 0.6210 0.2500
10 Cu 0.1210 0.6210 0.7500
11 Cu 0.3790 0.1210 0.2500
12 Cu 0.3790 0.1210 0.7500
13 Cu 0.6210 0.8790 0.2500
14 Cu 0.6210 0.8790 0.7500
15 Cu 0.8790 0.3790 0.2500
16 Cu 0.8790 0.3790 0.7500
17 Pd 0.0000 0.0000 0.2472
18 Pd 0.0000 0.0000 0.7528
19 Pd 0.5000 0.5000 0.2528
20 Pd 0.5000 0.5000 0.7472

calculated volume: 19.48 A^3/atom



Energy comparison, zero being the most stable, in meV per atom: (w) 0; (x) 39.



(w)
# Ho3Cu3Pd2

A relaxed Ho3Cu3Pd2 crystal (PBE, the Alexandria database).

Cell lengths 5.4869, 5.4869, 15.1188 Å; angles 90.00, 90.00, 136.54 degrees
Sites, in units of the cell vectors:
1 Ho 0.0808 0.9192 0.6030
2 Ho 0.0808 0.9192 0.8970
3 Ho 0.3539 0.6461 0.7500
4 Ho 0.6461 0.3539 0.2500
5 Ho 0.9192 0.0808 0.1030
6 Ho 0.9192 0.0808 0.3970
7 Cu 0.3647 0.6353 0.2500
8 Cu 0.3876 0.6124 0.5341
9 Cu 0.3876 0.6124 0.9659
10 Cu 0.6124 0.3876 0.0341
11 Cu 0.6124 0.3876 0.4659
12 Cu 0.6353 0.3647 0.7500
13 Pd 0.2124 0.7876 0.1119
14 Pd 0.2124 0.7876 0.3881
15 Pd 0.7876 0.2124 0.6119
16 Pd 0.7876 0.2124 0.8881

calculated volume: 19.57 A^3/atom



(x)
# Ho3Cu3Pd2

A relaxed Ho3Cu3Pd2 crystal (PBE, the Alexandria database).

Cell lengths 6.8336, 6.8336, 3.8882 Å; angles 90.00, 90.00, 120.00 degrees
Sites, in units of the cell vectors:
1 Ho 0.0000 0.3704 0.0000
2 Ho 0.3704 0.0000 0.0000
3 Ho 0.6296 0.6296 0.0000
4 Cu 0.0000 0.7754 0.5000
5 Cu 0.2246 0.2246 0.5000
6 Cu 0.7754 0.0000 0.5000
7 Pd 0.3333 0.6667 0.5000
8 Pd 0.6667 0.3333 0.5000

calculated volume: 19.66 A^3/atom



Energy comparison, zero being the most stable, in meV per atom: (w) 0; (x) 21.